## PaBeVO6 (PBE with a Hubbard U)

Data for PaBeVO6 after structural relaxation.

Structure (extended XYZ):
```
9
Lattice="4.7956 0.0000 0.0000 0.0000 4.8475 0.0000 0.0000 -2.4237 4.1980" Properties=species:S:1:pos:R:3 pbc="T T T"
O 3.4457 1.5369 0.0985
O 1.3500 3.3106 0.0985
O 1.3500 3.1068 2.8178
O 1.3500 0.8538 1.2817
O 3.4457 3.9937 1.2817
O 3.4457 1.7406 2.8178
Pa 0.0000 0.0000 2.7987
Be 2.3978 0.0000 0.0000
V 2.3978 2.4237 1.3993
```

Calculated values
- Crystal system: trigonal
- Space-group type: P312
- Total magnetization: 0.0 μB per formula unit
- Raw total energy: -73.366 eV/cell
- V: 98 Å³/cell